No. 1
{"formula": "CrFeAg2", "functional": "PBE", "state": "relaxed", "spacegroup": "Cmmm", "m_tot_mub_per_cell": 6.9, "e_above_lowest_polymorph_ev_per_fu": 0.90, "e_form_ev_per_atom": 0.553, "crystal_system": "orthorhombic", "rho_g_cm3": 8.3, "lattice_angstrom": [[2.8816, -3.9011, 0.0000], [2.8816, 3.9011, 0.0000], [0.0000, 0.0000, 2.8667]], "species": ["Cr", "Fe", "Ag", "Ag"], "frac_coords": [[0.0000, 0.0000, 0.0000], [0.5000, 0.5000, 0.0000], [0.0000, 0.5000, 0.5000], [0.5000, 0.0000, 0.5000]]}

=====

No. 2
{"formula": "Ac5PmGe2", "functional": "PBE", "state": "relaxed", "spacegroup": "Immm", "m_tot_mub_per_cell": 0.0, "e_form_ev_per_atom": -0.144, "crystal_system": "orthorhombic", "rho_g_cm3": 8.2, "lattice_angstrom": [[-2.4396, 5.1118, 5.8209], [2.4396, -5.1118, 5.8209], [2.4396, 5.1118, -5.8209]], "species": ["Ac", "Ac", "Ac", "Ac", "Ac", "Pm", "Ge", "Ge"], "frac_coords": [[0.0000, 0.0000, 0.0000], [0.0277, 0.3389, 0.6888], [0.3499, 0.6611, 0.6888], [0.6501, 0.3389, 0.3112], [0.9723, 0.6611, 0.3112], [0.5000, 0.0000, 0.5000], [0.3006, 0.3006, 0.0000], [0.6994, 0.6994, 0.0000]]}

=====

No. 3
{"formula": "SrCrPb4", "functional": "PBE", "state": "relaxed", "spacegroup": "F-43m", "m_tot_mub_per_cell": 5.1, "e_form_ev_per_atom": 0.218, "crystal_system": "cubic", "rho_g_cm3": 8.2, "lattice_angstrom": [[0.0000, 4.6070, 4.6070], [4.6070, 0.0000, 4.6070], [4.6070, 4.6070, 0.0000]], "species": ["Sr", "Cr", "Pb", "Pb", "Pb", "Pb"], "frac_coords": [[0.0000, 0.0000, 0.0000], [0.7500, 0.7500, 0.7500], [0.3748, 0.3748, 0.3748], [0.3748, 0.3748, 0.8758], [0.3748, 0.8758, 0.3748], [0.8758, 0.3748, 0.3748]]}

=====

No. 4
{"formula": "Ca2HfUAs4", "functional": "PBE", "state": "relaxed", "spacegroup": "P2/m", "m_tot_mub_per_cell": 1.9, "e_form_ev_per_atom": -1.051, "crystal_system": "monoclinic", "rho_g_cm3": 6.8, "lattice_angstrom": [[7.0018, 0.0000, 0.0000], [0.0000, 4.0565, 0.0000], [-2.3177, 0.0000, 6.8260]], "species": ["Ca", "Ca", "Hf", "U", "As", "As", "As", "As"], "frac_coords": [[0.0000, 0.0000, 0.0000], [0.5000, 0.5000, 0.0000], [0.0000, 0.5000, 0.5000], [0.5000, 0.0000, 0.5000], [0.2350, 0.0000, 0.7249], [0.2481, 0.5000, 0.2707], [0.7519, 0.5000, 0.7293], [0.7650, 0.0000, 0.2751]]}

=====

Q: Number 4 is which compound?
A: Ca2HfUAs4